1.
Computed, not measured: an optimized crystal structure of TbZrNiOs at the PBE-GGA level of DFT.

Summary:
Total moment (μB per atom): 0.0000

Cell: 6.6673 6.6673 6.6673 Å, 90.00 90.00 90.00°
Last column: nearest neighbours and their distance in Å.
Fractional positions:
Tb1 0.0000 0.0000 0.0000  4 Os 2.89, 4 Ni 2.89
Tb2 0.0000 0.5000 0.5000  4 Os 2.89, 4 Ni 2.89
Tb3 0.5000 0.0000 0.5000  4 Os 2.89, 4 Ni 2.89
Tb4 0.5000 0.5000 0.0000  4 Os 2.89, 4 Ni 2.89
Zr1 0.0000 0.0000 0.5000  4 Ni 2.89, 4 Os 2.89
Zr2 0.0000 0.5000 0.0000  4 Ni 2.89, 4 Os 2.89
Zr3 0.5000 0.0000 0.0000  4 Ni 2.89, 4 Os 2.89
Zr4 0.5000 0.5000 0.5000  4 Ni 2.89, 4 Os 2.89
Ni1 0.2500 0.2500 0.2500  4 Tb 2.89, 4 Zr 2.89
Ni2 0.2500 0.7500 0.7500  4 Tb 2.89, 4 Zr 2.89
Ni3 0.7500 0.2500 0.7500  4 Tb 2.89, 4 Zr 2.89
Ni4 0.7500 0.7500 0.2500  4 Tb 2.89, 4 Zr 2.89
Os1 0.2500 0.2500 0.7500  4 Zr 2.89, 4 Tb 2.89
Os2 0.2500 0.7500 0.2500  4 Zr 2.89, 4 Tb 2.89
Os3 0.7500 0.2500 0.2500  4 Zr 2.89, 4 Tb 2.89
Os4 0.7500 0.7500 0.7500  4 Zr 2.89, 4 Tb 2.89

=====

2.
Computed, not measured: an optimized crystal structure of TcNiOs2 at the PBE-GGA level of DFT.

Summary:
Total moment (μB per atom): 0.0000
E above lowest polymorph (meV/atom): 29

Cell: 8.9420 2.7002 4.6113 Å, 90.00 99.65 90.00°
Last column: nearest neighbours and their distance in Å.
Fractional positions:
Tc1 0.0000 0.0000 0.0000  3 Ni 2.64-2.72, 7 Os 2.66-2.72, 2 Tc 2.70
Tc2 0.5000 0.5000 0.0000  3 Ni 2.64-2.72, 7 Os 2.66-2.72, 2 Tc 2.70
Ni1 0.2540 0.5000 0.2454  3 Tc 2.64-2.72, 7 Os 2.66-2.73, 2 Ni 2.70
Ni2 0.7540 0.0000 0.2454  3 Tc 2.64-2.72, 7 Os 2.66-2.73, 2 Ni 2.70
Os1 0.0076 0.5000 0.4988  5 Os 2.65-2.71, 4 Tc 2.66-2.69, 3 Ni 2.66-2.73
Os2 0.2520 0.0000 0.7414  5 Os 2.65-2.71, 4 Ni 2.66-2.69, 3 Tc 2.70-2.72
Os3 0.5076 0.0000 0.4988  5 Os 2.65-2.71, 4 Tc 2.66-2.69, 3 Ni 2.66-2.73
Os4 0.7520 0.5000 0.7414  5 Os 2.65-2.71, 4 Ni 2.66-2.69, 3 Tc 2.70-2.72

=====

3.
Computed, not measured: an optimized crystal structure of TcNiOs2 at the PBE-GGA level of DFT.

Summary:
Total moment (μB per atom): 0.0012
E above lowest polymorph (meV/atom): 48

Cell: 2.7098 2.7098 7.4402 Å, 90.00 90.00 90.00°
Last column: nearest neighbours and their distance in Å.
Fractional positions:
Tc1 0.0000 0.0000 0.0000  4 Ni 2.61, 4 Tc 2.71, 4 Os 2.76
Ni1 0.5000 0.5000 0.2382  4 Tc 2.61, 4 Os 2.64, 4 Ni 2.71
Os1 0.0000 0.0000 0.4818  4 Ni 2.64, 8 Os 2.68-2.71
Os2 0.5000 0.5000 0.7335  8 Os 2.68-2.71, 4 Tc 2.76

=====

4.
Computed, not measured: an optimized crystal structure of TcNiOs2 at the PBE-GGA level of DFT.

Summary:
Total moment (μB per atom): 0.0000
E above lowest polymorph (meV/atom): 74

Cell: 5.3436 7.5472 2.7180 Å, 90.00 90.00 90.00°
Last column: nearest neighbours and their distance in Å.
Fractional positions:
Tc1 0.0000 0.0000 0.0000  2 Ni 2.67, 8 Os 2.68, 2 Tc 2.72
Tc2 0.5000 0.5000 0.0000  2 Ni 2.67, 8 Os 2.68, 2 Tc 2.72
Ni1 0.0000 0.5000 0.0000  2 Tc 2.67, 8 Os 2.68, 2 Ni 2.72
Ni2 0.5000 0.0000 0.0000  2 Tc 2.67, 8 Os 2.68, 2 Ni 2.72
Os1 0.2500 0.2500 0.5000  4 Os 2.67-2.72, 4 Tc 2.68, 4 Ni 2.68
Os2 0.2500 0.7500 0.5000  4 Os 2.67-2.72, 4 Tc 2.68, 4 Ni 2.68
Os3 0.7500 0.2500 0.5000  4 Os 2.67-2.72, 4 Tc 2.68, 4 Ni 2.68
Os4 0.7500 0.7500 0.5000  4 Os 2.67-2.72, 4 Ni 2.68, 4 Tc 2.68

=====

5.
Computed, not measured: an optimized crystal structure of TcNiOs2 at the PBE-GGA level of DFT.

Summary:
Total moment (μB per atom): 0.0002
E above lowest polymorph (meV/atom): 337

Cell: 6.0588 6.0588 6.0588 Å, 90.00 90.00 90.00°
Last column: nearest neighbours and their distance in Å.
Fractional positions:
Tc1 0.0000 0.0000 0.0000  4 Os 2.62, 4 Ni 2.62
Tc2 0.0000 0.5000 0.5000  4 Os 2.62, 4 Ni 2.62
Tc3 0.5000 0.0000 0.5000  4 Os 2.62, 4 Ni 2.62
Tc4 0.5000 0.5000 0.0000  4 Os 2.62, 4 Ni 2.62
Ni1 0.2500 0.2500 0.7500  4 Tc 2.62, 4 Os 2.62
Ni2 0.2500 0.7500 0.2500  4 Tc 2.62, 4 Os 2.62
Ni3 0.7500 0.2500 0.2500  4 Tc 2.62, 4 Os 2.62
Ni4 0.7500 0.7500 0.7500  4 Tc 2.62, 4 Os 2.62
Os1 0.0000 0.0000 0.5000  4 Os 2.62, 4 Ni 2.62
Os2 0.0000 0.5000 0.0000  4 Os 2.62, 4 Ni 2.62
Os3 0.2500 0.2500 0.2500  4 Tc 2.62, 4 Os 2.62
Os4 0.2500 0.7500 0.7500  4 Tc 2.62, 4 Os 2.62
Os5 0.5000 0.0000 0.0000  4 Os 2.62, 4 Ni 2.62
Os6 0.5000 0.5000 0.5000  4 Os 2.62, 4 Ni 2.62
Os7 0.7500 0.2500 0.7500  4 Tc 2.62, 4 Os 2.62
Os8 0.7500 0.7500 0.2500  4 Tc 2.62, 4 Os 2.62

=====

6.
Computed, not measured: an optimized crystal structure of TcNiOs2 at the PBE-GGA level of DFT.

Summary:
Total moment (μB per atom): 0.1025
E above lowest polymorph (meV/atom): 69

Cell: 2.7139 2.7139 25.9420 Å, 90.00 90.00 120.00°
Last column: nearest neighbours and their distance in Å.
Fractional positions:
Tc1 0.0000 0.0000 0.0000  3 Ni 2.64, 3 Os 2.70, 6 Tc 2.71
Tc2 0.3333 0.6667 0.6667  3 Ni 2.64, 3 Os 2.70, 6 Tc 2.71
Tc3 0.6667 0.3333 0.3333  3 Ni 2.64, 3 Os 2.70, 6 Tc 2.71
Ni1 0.0000 0.0000 0.2514  3 Os 2.63, 3 Tc 2.64, 6 Ni 2.71
Ni2 0.3333 0.6667 0.9180  3 Os 2.63, 3 Tc 2.64, 6 Ni 2.71
Ni3 0.6667 0.3333 0.5847  3 Os 2.63, 3 Tc 2.64, 6 Ni 2.71
Os1 0.0000 0.0000 0.5033  3 Ni 2.63, 9 Os 2.71
Os2 0.0000 0.0000 0.7515  3 Tc 2.70, 9 Os 2.71
Os3 0.3333 0.6667 0.1700  3 Ni 2.63, 9 Os 2.71
Os4 0.3333 0.6667 0.4181  3 Tc 2.70, 9 Os 2.71
Os5 0.6667 0.3333 0.0848  3 Tc 2.70, 9 Os 2.71
Os6 0.6667 0.3333 0.8366  3 Ni 2.63, 9 Os 2.71

=====

7.
Computed, not measured: an optimized crystal structure of TcNiOs2 at the PBE-GGA level of DFT.

Summary:
Total moment (μB per atom): 0.0001
E above lowest polymorph (meV/atom): 54

Cell: 2.7057 2.7057 7.4506 Å, 90.00 90.00 90.00°
Last column: nearest neighbours and their distance in Å.
Fractional positions:
Tc1 0.0000 0.0000 0.0000  4 Tc 2.71, 8 Os 2.72
Ni1 0.0000 0.0000 0.5000  8 Os 2.62, 4 Ni 2.71
Os1 0.5000 0.5000 0.2590  4 Ni 2.62, 4 Os 2.71, 4 Tc 2.72
Os2 0.5000 0.5000 0.7410  4 Ni 2.62, 4 Os 2.71, 4 Tc 2.72

=====

8.
Computed, not measured: an optimized crystal structure of TcNiOs2 at the PBE-GGA level of DFT.

Summary:
Total moment (μB per atom): 0.0000
E above lowest polymorph (meV/atom): 11

Cell: 2.6974 3.8107 5.3143 Å, 90.00 90.00 90.00°
Last column: nearest neighbours and their distance in Å.
Fractional positions:
Tc1 0.0000 0.0000 0.0000  2 Ni 2.66, 2 Tc 2.70, 8 Os 2.71
Ni1 0.0000 0.0000 0.5000  2 Tc 2.66, 8 Os 2.67, 2 Ni 2.70
Os1 0.5000 0.5000 0.2577  4 Os 2.58-2.74, 4 Ni 2.67, 4 Tc 2.71
Os2 0.5000 0.5000 0.7423  4 Os 2.58-2.74, 4 Ni 2.67, 4 Tc 2.71

=====

9.
Computed, not measured: an optimized crystal structure of TcNiOs2 at the PBE-GGA level of DFT.

Summary:
Total moment (μB per atom): 0.0000
E above lowest polymorph (meV/atom): 45

Cell: 3.7671 3.7671 7.6926 Å, 90.00 90.00 90.00°
Last column: nearest neighbours and their distance in Å.
Fractional positions:
Tc1 0.0000 0.0000 0.0000  8 Os 2.66-2.69, 4 Ni 2.69
Tc2 0.5000 0.5000 0.5000  8 Os 2.66-2.69, 4 Ni 2.69
Ni1 0.0000 0.5000 0.7500  8 Os 2.66-2.69, 4 Tc 2.69
Ni2 0.5000 0.0000 0.2500  8 Os 2.66-2.69, 4 Tc 2.69
Os1 0.0000 0.0000 0.5000  4 Tc 2.66, 4 Os 2.69, 4 Ni 2.69
Os2 0.0000 0.5000 0.2500  4 Ni 2.66, 4 Tc 2.69, 4 Os 2.69
Os3 0.5000 0.0000 0.7500  4 Ni 2.66, 4 Tc 2.69, 4 Os 2.69
Os4 0.5000 0.5000 0.0000  4 Tc 2.66, 4 Ni 2.69, 4 Os 2.69

=====

10.
Computed, not measured: an optimized crystal structure of TcNiOs2 at the PBE-GGA level of DFT.

Summary:
Total moment (μB per atom): 0.0000
E above lowest polymorph (meV/atom): 36

Cell: 3.8059 3.8059 7.5432 Å, 90.00 90.00 90.00°
Last column: nearest neighbours and their distance in Å.
Fractional positions:
Tc1 0.0000 0.0000 0.0000  8 Os 2.68, 4 Ni 2.69
Tc2 0.5000 0.5000 0.5000  8 Os 2.68, 4 Ni 2.69
Ni1 0.0000 0.0000 0.5000  8 Os 2.68, 4 Tc 2.69
Ni2 0.5000 0.5000 0.0000  8 Os 2.68, 4 Tc 2.69
Os1 0.0000 0.5000 0.2500  4 Tc 2.68, 4 Ni 2.68, 4 Os 2.69
Os2 0.0000 0.5000 0.7500  4 Tc 2.68, 4 Ni 2.68, 4 Os 2.69
Os3 0.5000 0.0000 0.2500  4 Tc 2.68, 4 Ni 2.68, 4 Os 2.69
Os4 0.5000 0.0000 0.7500  4 Tc 2.68, 4 Ni 2.68, 4 Os 2.69

=====

For each record above, in turn, the calculated calculated total energy values are -7.87; -9.53; -9.51; -9.48; -9.22; -9.49; -9.50; -9.55; -9.51; -9.52 eV/atom.
For each record above, in turn, the calculated DFT formation energy values are -0.327; 0.124; 0.143; 0.170; 0.432; 0.165; 0.149; 0.106; 0.141; 0.131 eV per atom.